LiSmSnBi after structural relaxation. Source: Alexandria, functional GGA-PBE.

Calculated values
Formation energy from the elements, eV/atom: -0.412
D(E_F), states/eV/f.u.: 3.4

CIF file:
```
data_LiSmSnBi
_cell_length_a 7.567
_cell_length_b 7.567
_cell_length_c 7.567
_cell_angle_alpha 90.00
_cell_angle_beta 90.00
_cell_angle_gamma 90.00
_symmetry_space_group_name_H-M 'F -4 3 m'
_symmetry_Int_Tables_number 216
_symmetry_space_group_name_Hall 'F -4 2 3'
loop_
_atom_site_label
_atom_site_fract_x
_atom_site_fract_y
_atom_site_fract_z
Li1 0.000 0.000 0.000
Sm1 0.000 0.000 0.500
Sn1 0.250 0.250 0.250
Bi1 0.250 0.250 0.750
```